# CuAu

A relaxed structure of CuAu (GGA-PBE, Alexandria).

Summary:
E: -3.595 eV/atom
Fermi-level density of states: 0.6 states/eV/f.u.
ΔE_f: 2.13 kcal/mol of atoms

Cell: 2.8074 11.1126 6.3608 Å, 90.00 90.00 90.00°
Closest atoms and distances in Å follow each position.
Space group Amm2 (No. 38)
Inequivalent atoms, fractional coordinates:
Cu (0.0000, 0.0000, 0.0000) (multiplicity 2)  6 Cu 2.57-2.81, 3 Au 2.60-2.62
Cu (0.5000, 0.1103, 0.2783) (multiplicity 4)  3 Cu 2.45-2.57, 6 Au 2.63-2.72
Au (0.0000, 0.0000, 0.5905) (multiplicity 2)  5 Cu 2.60-2.72, 2 Au 2.81
Au (0.0000, 0.2355, 0.0051) (multiplicity 4)  5 Cu 2.62-2.64, 2 Au 2.81